CaNbMo2F: optimized geometry, GGA+U.

Cell: 5.1664 5.1664 4.2230 Å, 90.00 90.00 90.00°
With the nearest neighbours (Å) after each atom.
Atoms (fractional coordinates):
Ca  0.0000  0.0000  0.0000  8 Mo 3.34, 4 Nb 3.65
Nb  0.5000  0.5000  0.0000  2 F 2.11
Mo  0.0000  0.5000  0.5000  2 F 2.58
Mo  0.5000  0.0000  0.5000  2 F 2.58
F  0.5000  0.5000  0.5000  2 Nb 2.11

## Properties
**V**: 22.5 A^3/atom
**DFT total energy**: -5.0660 eV/atom
**Space group**: P4/mmm, No. 123
**Fermi-level density of states**: 0.460 states/eV per atom